(1)
Here is an optimized crystal structure of ZrAlW2 from the Alexandria database. Energies are from PBE.

## Properties
SG	P4mm, No. 99
formation energy from the elements	0.159	eV/atom
magnetization	0.0	μB/cell
N(E_F)	4.42	states/eV/f.u.
raw total energy	-37.6	eV/cell
volume	17.4	A^3/atom

a = 2.779 Å, b = 2.779 Å, c = 9.012 Å
α = 90.00°, β = 90.00°, γ = 90.00°
Element x y z (fractional)
Zr 0.000 0.000 0.000
Al 0.500 0.500 0.260
W 0.000 0.000 0.483
W 0.500 0.500 0.733

=====

(2)
Here is an optimized crystal structure of ZrAlW2 from the Alexandria database. Energies are from PBE.

## Properties
SG	P4/mmm, No. 123
formation energy from the elements	0.166	eV/atom
magnetization	0.0	μB/cell
N(E_F)	2.80	states/eV/f.u.
raw total energy	-37.5	eV/cell
volume	17.2	A^3/atom

a = 2.776 Å, b = 2.776 Å, c = 8.950 Å
α = 90.00°, β = 90.00°, γ = 90.00°
Element x y z (fractional)
Zr 0.000 0.000 0.000
Al 0.000 0.000 0.500
W 0.500 0.500 0.274
W 0.500 0.500 0.726

=====

(3)
Here is an optimized crystal structure of ZrAlW from the Alexandria database. Energies are from PBE.

## Properties
SG	P3m1, No. 156
formation energy from the elements	0.031	eV/atom
magnetization	0.0	μB/cell
N(E_F)	2.38	states/eV/f.u.
raw total energy	-25.2	eV/cell
relative energy among the computed polymorphs	0.317	eV/atom
volume	18.0	A^3/atom

a = 4.735 Å, b = 4.735 Å, c = 2.777 Å
α = 90.00°, β = 90.00°, γ = 120.00°
Element x y z (fractional)
Zr 0.000 0.000 0.000
Al 0.333 0.667 0.407
W 0.667 0.333 0.676

=====

(4)
Here is an optimized crystal structure of ZrAlW from the Alexandria database. Energies are from PBE.

## Properties
SG	Cm, No. 8
formation energy from the elements	-0.065	eV/atom
magnetization	0.0	μB/cell
N(E_F)	2.19	states/eV/f.u.
raw total energy	-50.9	eV/cell
relative energy among the computed polymorphs	0.221	eV/atom
volume	18.7	A^3/atom

a = 5.466 Å, b = 5.466 Å, c = 7.774 Å
α = 120.89°, β = 120.89°, γ = 34.92°
Element x y z (fractional)
Zr 0.000 0.000 0.000
Zr 0.157 0.157 0.615
Al 0.427 0.427 0.269
Al 0.715 0.715 0.971
W 0.426 0.426 0.627
W 0.740 0.740 0.349

=====

(5)
Here is an optimized crystal structure of ZrAlW2 from the Alexandria database. Energies are from PBE.

## Properties
SG	Cmm2, No. 35
formation energy from the elements	0.010	eV/atom
magnetization	0.0	μB/cell
N(E_F)	3.07	states/eV/f.u.
raw total energy	-38.2	eV/cell
volume	17.4	A^3/atom

a = 2.839 Å, b = 2.839 Å, c = 9.152 Å
α = 90.00°, β = 90.00°, γ = 109.14°
Element x y z (fractional)
Zr 0.000 0.000 0.000
Al 0.500 0.500 0.729
W 0.000 0.000 0.497
W 0.500 0.500 0.262

=====

(6)
Here is an optimized crystal structure of ZrAlW from the Alexandria database. Energies are from PBE.

## Properties
SG	Pm, No. 6
formation energy from the elements	-0.087	eV/atom
magnetization	0.0	μB/cell
N(E_F)	1.83	states/eV/f.u.
raw total energy	-51.0	eV/cell
relative energy among the computed polymorphs	0.199	eV/atom
volume	18.3	A^3/atom

a = 3.301 Å, b = 4.560 Å, c = 7.377 Å
α = 90.00°, β = 98.17°, γ = 90.00°
Element x y z (fractional)
Zr 0.000 0.000 0.000
Zr 0.299 0.500 0.285
Al 0.491 0.500 0.908
Al 0.893 0.500 0.615
W 0.403 0.000 0.663
W 0.811 0.000 0.384

=====

(7)
Here is an optimized crystal structure of ZrAlW2 from the Alexandria database. Energies are from PBE.

## Properties
SG	Cmmm, No. 65
formation energy from the elements	0.089	eV/atom
magnetization	0.0	μB/cell
N(E_F)	4.03	states/eV/f.u.
raw total energy	-37.8	eV/cell
volume	17.1	A^3/atom

a = 2.800 Å, b = 2.800 Å, c = 9.035 Å
α = 90.00°, β = 90.00°, γ = 105.24°
Element x y z (fractional)
Zr 0.000 0.000 0.000
Al 0.000 0.000 0.500
W 0.500 0.500 0.269
W 0.500 0.500 0.731

=====

(8)
Here is an optimized crystal structure of ZrAlW2 from the Alexandria database. Energies are from PBE.

## Properties
SG	Pmm2, No. 25
formation energy from the elements	0.155	eV/atom
magnetization	0.0	μB/cell
N(E_F)	3.67	states/eV/f.u.
raw total energy	-37.6	eV/cell
volume	17.5	A^3/atom

a = 2.768 Å, b = 4.276 Å, c = 5.916 Å
α = 90.00°, β = 90.00°, γ = 90.00°
Element x y z (fractional)
Zr 0.000 0.000 0.000
Al 0.500 0.500 0.261
W 0.000 0.000 0.498
W 0.500 0.500 0.729

=====

(9)
Here is an optimized crystal structure of ZrAlW from the Alexandria database. Energies are from PBE.

## Properties
SG	Cmcm, No. 63
formation energy from the elements	-0.136	eV/atom
magnetization	0.0	μB/cell
N(E_F)	2.03	states/eV/f.u.
raw total energy	-51.3	eV/cell
relative energy among the computed polymorphs	0.150	eV/atom
volume	18.2	A^3/atom

a = 5.105 Å, b = 5.105 Å, c = 5.490 Å
α = 90.00°, β = 90.00°, γ = 130.43°
Element x y z (fractional)
Zr 0.192 0.808 0.750
Zr 0.808 0.192 0.250
Al 0.111 0.889 0.250
Al 0.889 0.111 0.750
W 0.500 0.500 0.000
W 0.500 0.500 0.500

=====

(10)
Here is an optimized crystal structure of Zr4AlW from the Alexandria database. Energies are from PBE.

## Properties
SG	F-43m, No. 216
formation energy from the elements	0.538	eV/atom
magnetization	0.0	μB/cell
N(E_F)	8.00	states/eV/f.u.
raw total energy	-47.7	eV/cell
volume	20.9	A^3/atom

a = 5.617 Å, b = 5.617 Å, c = 5.617 Å
α = 60.00°, β = 60.00°, γ = 60.00°
Element x y z (fractional)
Zr 0.377 0.377 0.377
Zr 0.377 0.377 0.869
Zr 0.377 0.869 0.377
Zr 0.869 0.377 0.377
Al 0.000 0.000 0.000
W 0.750 0.750 0.750

=====

(11)
Here is an optimized crystal structure of ZrAlW from the Alexandria database. Energies are from PBE.

## Properties
SG	C2/m, No. 12
formation energy from the elements	-0.158	eV/atom
magnetization	0.0	μB/cell
N(E_F)	1.51	states/eV/f.u.
raw total energy	-51.4	eV/cell
relative energy among the computed polymorphs	0.128	eV/atom
volume	17.9	A^3/atom

a = 7.762 Å, b = 7.762 Å, c = 2.780 Å
α = 93.54°, β = 93.54°, γ = 139.35°
Element x y z (fractional)
Zr 0.175 0.825 0.000
Zr 0.825 0.175 0.000
Al 0.360 0.640 0.500
Al 0.640 0.360 0.500
W 0.242 0.242 0.778
W 0.758 0.758 0.222

=====

(12)
Here is an optimized crystal structure of ZrAlW2 from the Alexandria database. Energies are from PBE.

## Properties
SG	Immm, No. 71
formation energy from the elements	0.062	eV/atom
magnetization	0.0	μB/cell
N(E_F)	3.11	states/eV/f.u.
raw total energy	-37.9	eV/cell
volume	17.4	A^3/atom

a = 5.362 Å, b = 5.362 Å, c = 5.362 Å
α = 143.01°, β = 130.64°, γ = 63.25°
Element x y z (fractional)
Zr 0.000 0.000 0.000
Al 0.500 0.500 0.000
W 0.249 0.749 0.500
W 0.751 0.251 0.500